The following is a PBE calculation of a relaxed SrScAs crystal, from Alexandria.

Unit cell a=6.933 b=6.933 c=6.933 alpha=90.00 beta=90.00 gamma=90.00
Space group F-43m (No. 216)
Inequivalent atoms, fractional coordinates:
Sr 0.000 0.000 0.000 [4 per cell]
Sc 0.000 0.000 0.500 [4 per cell]
As 0.250 0.250 0.750 [4 per cell]

**ΔE_f**: -0.57 eV/atom
**V**: 27.77 A^3/atom